A relaxed AlTc2Hg crystal, computed with PBE.

Computed properties:
The magnetization comes out at 0.0 μB/f.u. Its crystal system is tetragonal. The offset from the most stable computed form is 212 meV per atom. The formation enthalpy at 0 K is 230.2 meV per atom.

Structure (POSCAR):
```
AlTc2Hg
1.0
-0.8705 -0.5750 3.0537
-2.7576 -1.3188 -1.0344
2.7758 -5.5982 -0.2629
Hg Tc Al
1 2 1
Cartesian
0.2678 -5.1456 0.8125
1.2461 -2.5130 -0.1180
0.1418 -0.2861 -0.0134
-1.1201 -2.3465 0.9439
```